Below is a relaxed structure of Cu7Te4, with properties calculated at the GGA-PBE level.

The structure in POSCAR format:
```
Cu7Te4
1.0
7.2261 0.0000 0.0000
0.0000 8.2352 0.0000
-0.8609 0.0000 35.5697
Cu Te
28 16
direct
0.0000 0.0000 0.0000 Cu
0.0002 0.2572 0.1014 Cu
0.0002 0.7428 0.1014 Cu
0.0051 0.5000 0.1965 Cu
0.0309 0.2460 0.3022 Cu
0.0309 0.7540 0.3022 Cu
0.0557 0.5000 0.0567 Cu
0.1001 0.2241 0.1712 Cu
0.1001 0.7759 0.1712 Cu
0.1287 0.3504 0.9747 Cu
0.1287 0.6496 0.9747 Cu
0.1692 0.0000 0.2652 Cu
0.3153 0.0000 0.2010 Cu
0.3523 0.5000 0.0185 Cu
0.5001 0.0000 0.3075 Cu
0.5607 0.5000 0.1314 Cu
0.6925 0.5000 0.0612 Cu
0.7613 0.2765 0.1628 Cu
0.7613 0.7235 0.1628 Cu
0.8176 0.0000 0.2780 Cu
0.8208 0.2332 0.9653 Cu
0.8208 0.7668 0.9653 Cu
0.8463 0.2465 0.0351 Cu
0.8463 0.7535 0.0351 Cu
0.8651 0.0000 0.1368 Cu
0.8655 0.2503 0.2334 Cu
0.8655 0.7497 0.2334 Cu
0.9203 0.5000 0.9364 Cu
0.1856 0.0000 0.3382 Te
0.1910 0.5000 0.1326 Te
0.2043 0.5000 0.3231 Te
0.2160 0.2142 0.0370 Te
0.2160 0.7858 0.0370 Te
0.2260 0.0000 0.1283 Te
0.2377 0.2819 0.2377 Te
0.2377 0.7181 0.2377 Te
0.6356 0.2246 0.0950 Te
0.6356 0.7754 0.0950 Te
0.6425 0.5000 0.2072 Te
0.6450 0.0000 0.9930 Te
0.6529 0.5000 0.9862 Te
0.6761 0.2753 0.2984 Te
0.6761 0.7247 0.2984 Te
0.6846 0.0000 0.2011 Te
```

* excess energy over the best structure of this formula in the dataset: 142 meV/atom
* calculated total energy: -0.2523 Ry per atom
* space-group type: No. 6